A plane-wave DFT calculation with GGA-PBE was carried out for a geometry-optimized Nb2Si2Ni structure.

Calculated values
For the uncorrected formation energy, the calculation gives -0.57 kcal/mol of atoms. The calculation puts the volume at 161.7 Å³/cell.

Unit cell a=6.7089 b=6.7089 c=3.5924 alpha=90.00 beta=90.00 gamma=90.00
Last column: nearest neighbours and their distance in Å.
Sites, in units of the cell vectors:
Nb: 0.1668 0.3332 0.0000  2 Ni 2.50, 6 Si 2.62-2.70
Nb: 0.3332 0.8332 0.0000  2 Ni 2.50, 6 Si 2.62-2.70
Nb: 0.6668 0.1668 0.0000  2 Ni 2.50, 6 Si 2.62-2.70
Nb: 0.8332 0.6668 0.0000  2 Ni 2.50, 6 Si 2.62-2.70
Si: 0.1319 0.6319 0.5000  1 Si 2.50, 6 Nb 2.62-2.70
Si: 0.3681 0.1319 0.5000  1 Si 2.50, 6 Nb 2.62-2.70
Si: 0.6319 0.8681 0.5000  1 Si 2.50, 6 Nb 2.62-2.70
Si: 0.8681 0.3681 0.5000  1 Si 2.50, 6 Nb 2.62-2.70
Ni: 0.0000 0.0000 0.0000  4 Nb 2.50
Ni: 0.5000 0.5000 0.0000  4 Nb 2.50

---

A plane-wave DFT calculation with GGA-PBE was carried out for a geometry-optimized NbSiNi2 structure.

Calculated values
For the uncorrected formation energy, the calculation gives -7.76 kcal/mol of atoms. The calculation puts the volume at 53.4 Å³/cell.

Unit cell a=2.7436 b=3.9823 c=4.9237 alpha=90.00 beta=96.90 gamma=90.00
Last column: nearest neighbours and their distance in Å.
Sites, in units of the cell vectors:
Nb: 0.0000 0.0000 0.0000  4 Si 2.67-2.96, 8 Ni 2.69-2.75, 2 Nb 2.74
Si: 0.5000 0.0000 0.5000  4 Ni 2.35
Ni: 0.4213 0.5000 0.7444  2 Si 2.35, 2 Ni 2.50
Ni: 0.5787 0.5000 0.2556  2 Si 2.35, 2 Ni 2.50

---

A plane-wave DFT calculation with GGA-PBE was carried out for a geometry-optimized Nb2SiNi structure.

Calculated values
For the uncorrected formation energy, the calculation gives 7.51 kcal/mol of atoms. The calculation puts the volume at 64.9 Å³/cell.

Unit cell a=9.6137 b=9.6137 c=9.6137 alpha=16.82 beta=16.82 gamma=16.82
Last column: nearest neighbours and their distance in Å.
Sites, in units of the cell vectors:
Nb: 0.0875 0.0875 0.0875  1 Ni 2.49, 3 Si 2.78
Nb: 0.9125 0.9125 0.9125  1 Ni 2.49, 3 Si 2.78
Si: 0.5000 0.5000 0.5000  6 Nb 2.78, 6 Si 2.81
Ni: 0.0000 0.0000 0.0000  2 Nb 2.49

---

A plane-wave DFT calculation with GGA-PBE was carried out for a geometry-optimized Nb2Si2Ni structure.

Calculated values
For the uncorrected formation energy, the calculation gives -12.77 kcal/mol of atoms. The calculation puts the volume at 146.2 Å³/cell.

Unit cell a=6.2285 b=6.2285 c=3.7678 alpha=90.00 beta=90.00 gamma=90.00
Last column: nearest neighbours and their distance in Å.
Sites, in units of the cell vectors:
Nb: 0.1729 0.3271 0.0000  6 Si 2.54-2.69
Nb: 0.3271 0.8271 0.0000  6 Si 2.54-2.69
Nb: 0.6729 0.1729 0.0000  6 Si 2.54-2.69
Nb: 0.8271 0.6729 0.0000  6 Si 2.54-2.69
Si: 0.1335 0.6335 0.5000  1 Si 2.35, 2 Ni 2.43, 2 Nb 2.54
Si: 0.3665 0.1335 0.5000  1 Si 2.35, 2 Ni 2.43, 2 Nb 2.54
Si: 0.6335 0.8665 0.5000  1 Si 2.35, 2 Ni 2.43, 2 Nb 2.54
Si: 0.8665 0.3665 0.5000  1 Si 2.35, 2 Ni 2.43, 2 Nb 2.54
Ni: 0.0000 0.0000 0.5000  4 Si 2.43
Ni: 0.5000 0.5000 0.5000  4 Si 2.43

---

A plane-wave DFT calculation with GGA-PBE was carried out for a geometry-optimized Nb2Si2Ni structure.

Calculated values
For the uncorrected formation energy, the calculation gives -0.86 kcal/mol of atoms. The calculation puts the volume at 79.3 Å³/cell.

Unit cell a=7.5393 b=7.5393 c=7.5393 alpha=154.50 beta=154.50 gamma=36.38
Last column: nearest neighbours and their distance in Å.
Sites, in units of the cell vectors:
Nb: 0.1056 0.1056 0.0000  4 Si 2.65, 4 Ni 2.80
Nb: 0.8944 0.8944 0.0000  4 Si 2.65, 4 Ni 2.80
Si: 0.2500 0.7500 0.5000  4 Si 2.35
Si: 0.7500 0.2500 0.5000  4 Si 2.35
Ni: 0.5000 0.5000 0.0000  8 Nb 2.80

---

A plane-wave DFT calculation with GGA-PBE was carried out for a geometry-optimized NbSiNi6 structure.

Calculated values
For the uncorrected formation energy, the calculation gives 3.41 kcal/mol of atoms. The calculation puts the volume at 117.3 Å³/cell.

Unit cell a=6.5151 b=6.5151 c=6.5151 alpha=43.16 beta=43.16 gamma=43.16
Last column: nearest neighbours and their distance in Å.
Sites, in units of the cell vectors:
Nb: 0.0000 0.0000 0.0000  12 Ni 2.68
Si: 0.5000 0.5000 0.5000  6 Ni 2.24
Ni: 0.0618 0.5714 0.5714  1 Si 2.24, 5 Ni 2.35-2.44
Ni: 0.4286 0.4286 0.9382  1 Si 2.24, 5 Ni 2.35-2.44
Ni: 0.4286 0.9382 0.4286  1 Si 2.24, 5 Ni 2.35-2.44
Ni: 0.5714 0.0618 0.5714  1 Si 2.24, 5 Ni 2.35-2.44
Ni: 0.5714 0.5714 0.0618  1 Si 2.24, 5 Ni 2.35-2.44
Ni: 0.9382 0.4286 0.4286  1 Si 2.24, 5 Ni 2.35-2.44